No. 1
# Rb2CaCoTe | the Alexandria database | PBEsol | optimized geometry
# * theoretical density: 3.83 g/cm³
# * volume: 172.1 Å³/cell
# * size of the total moment: 0.21 μB per atom
# * formation energy (no corrections): 0.2432 eV per atom
data_Rb2CaCoTe
_chemical_formula_sum 'Rb2 Ca1 Co1 Te1'
_space_group_name_H-M_alt 'P 4/m m m'
_space_group_IT_number 123
_space_group_name_Hall '-P 4 2'
_cell_length_a 5.651
_cell_length_b 5.651
_cell_length_c 5.391
_cell_angle_alpha 90.00
_cell_angle_beta 90.00
_cell_angle_gamma 90.00
loop_
_atom_site_label
_atom_site_fract_x
_atom_site_fract_y
_atom_site_fract_z
_atom_site_occupancy
Rb1 0.000 0.500 0.000 1
Ca1 0.000 0.000 0.500 1
Co1 0.000 0.000 0.000 1
Te1 0.500 0.500 0.500 1

No. 2
# MoAu2 | the Alexandria database | PBEsol | optimized geometry
# * DFT formation energy: 544 meV per atom
# * theoretical density: 13.48 g/cm³
# * volume: 60.4 Å³/cell
# * size of the total moment: 0.00 μB per atom
data_MoAu2
_chemical_formula_sum 'Mo1 Au2'
_space_group_name_H-M_alt 'P 4/m m m'
_space_group_IT_number 123
_space_group_name_Hall '-P 4 2'
_cell_length_a 4.762
_cell_length_b 4.762
_cell_length_c 2.662
_cell_angle_alpha 90.00
_cell_angle_beta 90.00
_cell_angle_gamma 90.00
loop_
_atom_site_label
_atom_site_fract_x
_atom_site_fract_y
_atom_site_fract_z
_atom_site_occupancy
Mo1 0.000 0.000 0.000 1
Au1 0.000 0.500 0.500 1

No. 3
# Re2AgSb | the Alexandria database | PBEsol | optimized geometry
# * theoretical density: 14.53 g/cm³
# * volume: 206.4 Å³/cell
# * size of the total moment: 0.00 μB per atom
# * formation energy (no corrections): 0.4275 eV per atom
data_Re2AgSb
_chemical_formula_sum 'Re6 Ag3 Sb3'
_space_group_name_H-M_alt 'R 3 m'
_space_group_IT_number 160
_space_group_name_Hall 'R 3 -2"'
_cell_length_a 2.9082
_cell_length_b 2.9082
_cell_length_c 28.1795
_cell_angle_alpha 90.00
_cell_angle_beta 90.00
_cell_angle_gamma 120.00
loop_
_atom_site_label
_atom_site_fract_x
_atom_site_fract_y
_atom_site_fract_z
_atom_site_occupancy
Re1 0.0000 0.0000 0.0000 1
Re2 0.0000 0.0000 0.2627 1
Ag1 0.0000 0.0000 0.5118 1
Sb1 0.0000 0.0000 0.7508 1

Question: Which formula does entry 1 have?
Answer: Rb2CaCoTe

Question: What is the formula in the first record?
Answer: Rb2CaCoTe

Question: theoretical density of number 1 (Rb2CaCoTe)?
Answer: 3.83 g/cm³